1 | Entry from the Alexandria database: BaAsI after structural relaxation (PBE).

Cell lengths 4.3587, 6.5157, 8.8455 Å; angles 79.73, 75.73, 70.47 degrees
Fractional coordinates of all 6 atoms:
1 Ba 0.0343 0.3776 0.3468
2 Ba 0.0344 0.8776 0.8467
3 As 0.7958 0.4333 0.7682
4 As 0.2729 0.3219 0.9252
5 I 0.6437 0.9915 0.5139
6 I 0.4251 0.7636 0.1794

**DOS at the Fermi energy**: 0.3315 states/eV per atom
**Space group**: C2/m


2 | Entry from the Alexandria database: BaAsI after structural relaxation (PBE).

Cell lengths 5.1195, 5.0203, 12.9897 Å; angles 85.25, 78.63, 59.34 degrees
Fractional coordinates of all 6 atoms:
1 Ba 0.8414 0.0172 0.3000
2 Ba 0.1586 0.9828 0.7000
3 As 0.5954 0.2656 0.5436
4 As 0.4046 0.7344 0.4564
5 I 0.2569 0.3311 0.1550
6 I 0.7431 0.6689 0.8450

**DOS at the Fermi energy**: 0.4136 states/eV per atom
**Space group**: C2/m


Stability verdict: 2, ahead by 1.9 kJ/mol of atoms


1 | Entry from the Alexandria database: Ba4As2I5 after structural relaxation (PBE).

Cell lengths 4.9543, 9.3074, 12.0976 Å; angles 112.66, 101.82, 90.00 degrees
Site moments in Bohr magnetons follow the coordinates.
Fractional coordinates of all 11 atoms:
1 Ba 0.7005 0.7002 0.4009  0.01
2 Ba 0.0001 0.7207 0.0002  0.02
3 Ba 0.2995 0.2998 0.5991  0.01
4 Ba 0.9999 0.2793 0.9998  0.02
5 As 0.5541 0.5541 0.1082  0.17
6 As 0.4459 0.4459 0.8918  0.17
7 I 0.1691 0.9310 0.3382  0.01
8 I 0.8309 0.0690 0.6618  0.01
9 I 0.1689 0.4064 0.3379  0.01
10 I 0.5000 0.0000 0.0000  0.00
11 I 0.8311 0.5936 0.6621  0.01

**DOS at the Fermi energy**: 0.3840 states/eV per atom
**Space group**: C2/m


2 | Entry from the Alexandria database: Ba4As2I5 after structural relaxation (PBE).

Cell lengths 5.2671, 11.1598, 10.8407 Å; angles 107.75, 104.05, 90.00 degrees
Site moments in Bohr magnetons follow the coordinates.
Fractional coordinates of all 11 atoms:
1 Ba 0.6554 0.5859 0.3102  0.00
2 Ba 0.0094 0.7771 0.0189  0.06
3 Ba 0.3446 0.4141 0.6898  0.00
4 Ba 0.9906 0.2229 0.9811  0.06
5 As 0.5000 0.6059 0.0001  0.18
6 As 0.5000 0.3941 0.9999  0.18
7 I 0.1775 0.8028 0.3546  0.00
8 I 0.8225 0.1972 0.6454  0.00
9 I 0.1669 0.3732 0.3334  0.00
10 I 0.5000 0.0000 0.0000  0.01
11 I 0.8331 0.6268 0.6666  0.00

**DOS at the Fermi energy**: 0.2333 states/eV per atom
**Space group**: C2/m


Stability verdict: 1, ahead by 2.4 kJ/mol of atoms


1 | Entry from the Alexandria database: BaAsIN2 after structural relaxation (PBE).

Cell lengths 4.7540, 4.7540, 7.3808 Å; angles 90.00, 90.00, 90.00 degrees
Site moments in Bohr magnetons follow the coordinates.
Fractional coordinates of all 5 atoms:
1 I 0.0000 0.0000 0.5000  0.01
2 As 0.5000 0.5000 0.5000  0.65
3 Ba 0.0000 0.0000 0.0000  -0.03
4 N 0.0000 0.5000 0.0000  0.81
5 N 0.5000 0.0000 0.0000  0.81

**DOS at the Fermi energy**: 0.8939 states/eV per atom
**Space group**: P4/mmm


2 | Entry from the Alexandria database: BaAsIN2 after structural relaxation (PBE).

Cell lengths 4.4843, 4.4843, 5.6899 Å; angles 90.00, 90.00, 90.00 degrees
Site moments in Bohr magnetons follow the coordinates.
Fractional coordinates of all 5 atoms:
1 I 0.0000 0.0000 0.5000  -0.01
2 As 0.0000 0.0000 0.0000  -0.04
3 Ba 0.5000 0.5000 0.5000  -0.01
4 N 0.0000 0.5000 0.0000  0.53
5 N 0.5000 0.0000 0.0000  0.53

**DOS at the Fermi energy**: 0.2519 states/eV per atom
**Space group**: P4/mmm


Stability verdict: 2, ahead by 84.6 kJ/mol of atoms


1 | Entry from the Alexandria database: BaSb2AsI after structural relaxation (PBE).

Cell lengths 6.7682, 6.7682, 6.6831 Å; angles 90.00, 90.00, 90.00 degrees
Site moments in Bohr magnetons follow the coordinates.
Fractional coordinates of all 5 atoms:
1 I 0.0000 0.0000 0.5000  0.11
2 Sb 0.0000 0.5000 0.0000  0.44
3 Sb 0.5000 0.0000 0.0000  0.44
4 As 0.5000 0.5000 0.5000  1.18
5 Ba 0.0000 0.0000 0.0000  0.04

**DOS at the Fermi energy**: 1.2618 states/eV per atom
**Space group**: P4/mmm


2 | Entry from the Alexandria database: BaSb2AsI after structural relaxation (PBE).

Cell lengths 5.4135, 5.4135, 6.1308 Å; angles 90.00, 90.00, 90.00 degrees
Fractional coordinates of all 5 atoms:
1 I 0.0000 0.0000 0.5000
2 Sb 0.0000 0.5000 0.0000
3 Sb 0.5000 0.0000 0.0000
4 As 0.0000 0.0000 0.0000
5 Ba 0.5000 0.5000 0.5000

**DOS at the Fermi energy**: 0.6431 states/eV per atom
**Space group**: P4/mmm


Stability verdict: 2, ahead by 105.4 kJ/mol of atoms


1 | Entry from the Alexandria database: BaAs2SeI after structural relaxation (PBE).

Cell lengths 6.4905, 6.4905, 6.1908 Å; angles 90.00, 90.00, 90.00 degrees
Site moments in Bohr magnetons follow the coordinates.
Fractional coordinates of all 5 atoms:
1 I 0.5000 0.5000 0.5000  -0.11
2 As 0.0000 0.5000 0.0000  0.90
3 As 0.5000 0.0000 0.0000  0.90
4 Ba 0.0000 0.0000 0.0000  0.07
5 Se 0.0000 0.0000 0.5000  -0.59

**DOS at the Fermi energy**: 1.7044 states/eV per atom
**Space group**: P4/mmm


2 | Entry from the Alexandria database: BaAs2SeI after structural relaxation (PBE).

Cell lengths 5.4574, 5.4574, 5.5384 Å; angles 90.00, 90.00, 90.00 degrees
Fractional coordinates of all 5 atoms:
1 I 0.0000 0.0000 0.0000
2 As 0.0000 0.5000 0.0000
3 As 0.5000 0.0000 0.0000
4 Ba 0.5000 0.5000 0.5000
5 Se 0.0000 0.0000 0.5000

**DOS at the Fermi energy**: 0.8734 states/eV per atom
**Space group**: P4/mmm


Stability verdict: 2, ahead by 64.1 kJ/mol of atoms


1 | Entry from the Alexandria database: BaTeAsI2 after structural relaxation (PBE).

Cell lengths 5.6581, 5.6581, 5.8893 Å; angles 90.00, 90.00, 90.00 degrees
Fractional coordinates of all 5 atoms:
1 I 0.0000 0.5000 0.0000
2 I 0.5000 0.0000 0.0000
3 As 0.0000 0.0000 0.0000
4 Te 0.0000 0.0000 0.5000
5 Ba 0.5000 0.5000 0.5000

**DOS at the Fermi energy**: 0.0816 states/eV per atom
**Space group**: P4/mmm


2 | Entry from the Alexandria database: BaTeAsI2 after structural relaxation (PBE).

Cell lengths 6.6628, 6.6628, 7.1776 Å; angles 90.00, 90.00, 90.00 degrees
Site moments in Bohr magnetons follow the coordinates.
Fractional coordinates of all 5 atoms:
1 I 0.0000 0.5000 0.0000  -0.03
2 I 0.5000 0.0000 0.0000  -0.03
3 As 0.5000 0.5000 0.5000  1.17
4 Te 0.0000 0.0000 0.5000  -0.77
5 Ba 0.0000 0.0000 0.0000  0.01

**DOS at the Fermi energy**: 0.7925 states/eV per atom
**Space group**: P4/mmm


Stability verdict: 1, ahead by 67.7 kJ/mol of atoms